Entry 1
Compound: AcZnGe2
Source: Alexandria
Functional: PBE
Structure: optimized geometry Values from VASP.

Geometry as Quantum ESPRESSO input:
```
&SYSTEM
  ibrav = 0, nat = 4, ntyp = 3
/
ATOMIC_SPECIES
Ac 227.00 Ac.upf
Zn 65.41 Zn.upf
Ge 72.64 Ge.upf
ATOMIC_POSITIONS crystal
Ac 0.000 0.000 0.000
Zn 0.500 0.500 0.000
Ge 0.000 0.500 0.500
Ge 0.500 0.000 0.500
CELL_PARAMETERS angstrom
4.644 0.000 0.000
0.000 4.644 0.000
0.000 0.000 4.452
```

***

Entry 2
Compound: AcZnGe2
Source: Alexandria
Functional: PBE
Structure: optimized geometry Values from VASP.

Geometry as Quantum ESPRESSO input:
```
&SYSTEM
  ibrav = 0, nat = 4, ntyp = 3
/
ATOMIC_SPECIES
Ac 227.00 Ac.upf
Zn 65.41 Zn.upf
Ge 72.64 Ge.upf
ATOMIC_POSITIONS crystal
Ac 0.000 0.000 0.000
Zn 0.500 0.560 0.560
Ge 0.500 0.073 0.490
Ge 0.500 0.490 0.073
CELL_PARAMETERS angstrom
4.351 0.000 0.000
0.000 2.997 4.036
0.000 -2.997 4.036
```

***

Entry 3
Compound: AcZnGe2
Source: Alexandria
Functional: PBE
Structure: optimized geometry Values from VASP.

Geometry as Quantum ESPRESSO input:
```
&SYSTEM
  ibrav = 0, nat = 4, ntyp = 3
/
ATOMIC_SPECIES
Ac 227.00 Ac.upf
Zn 65.41 Zn.upf
Ge 72.64 Ge.upf
ATOMIC_POSITIONS crystal
Ac 0.000 0.000 0.000
Zn 0.000 0.000 0.500
Ge 0.500 0.500 0.314
Ge 0.500 0.500 0.686
CELL_PARAMETERS angstrom
3.672 0.000 0.000
0.000 3.672 0.000
0.000 0.000 6.835
```

***

Most stable: entry 2. Least stable: entry 3.

***

Entry 1
Compound: AcZnGe
Source: Alexandria
Functional: PBE
Structure: optimized geometry Values from VASP.

Geometry as Quantum ESPRESSO input:
```
&SYSTEM
  ibrav = 0, nat = 9, ntyp = 3
/
ATOMIC_SPECIES
Ac 227.00 Ac.upf
Zn 65.41 Zn.upf
Ge 72.64 Ge.upf
ATOMIC_POSITIONS crystal
Ac 0.000 0.665 0.000
Ac 0.335 0.335 0.667
Ac 0.665 0.000 0.333
Zn 0.334 0.332 0.029
Zn 0.668 0.002 0.696
Zn 0.998 0.666 0.362
Ge 0.002 0.668 0.638
Ge 0.332 0.334 0.304
Ge 0.666 0.998 0.971
CELL_PARAMETERS angstrom
5.556 0.000 0.000
-2.778 4.811 0.000
0.000 0.000 9.112
```

***

Entry 2
Compound: AcZnGe
Source: Alexandria
Functional: PBE
Structure: optimized geometry Values from VASP.

Geometry as Quantum ESPRESSO input:
```
&SYSTEM
  ibrav = 0, nat = 3, ntyp = 3
/
ATOMIC_SPECIES
Ac 227.00 Ac.upf
Zn 65.41 Zn.upf
Ge 72.64 Ge.upf
ATOMIC_POSITIONS crystal
Ac 0.000 0.000 0.000
Zn 0.250 0.250 0.250
Ge 0.500 0.500 0.500
CELL_PARAMETERS angstrom
0.000 3.443 3.443
3.443 0.000 3.443
3.443 3.443 0.000
```

***

Most stable: entry 2. Least stable: entry 1.

***

Entry 1
Compound: AcH2
Source: Alexandria
Functional: PBE
Structure: optimized geometry Values from VASP.

Geometry as Quantum ESPRESSO input:
```
&SYSTEM
  ibrav = 0, nat = 3, ntyp = 2
/
ATOMIC_SPECIES
Ac 227.00 Ac.upf
H 1.01 H.upf
ATOMIC_POSITIONS crystal
Ac 0.000 0.000 0.000
H 0.353 0.353 0.000
H 0.647 0.647 0.000
CELL_PARAMETERS angstrom
-1.788 1.788 3.555
1.788 -1.788 3.555
1.788 1.788 -3.555
```

***

Entry 2
Compound: AcH2
Source: Alexandria
Functional: PBE
Structure: optimized geometry Values from VASP.

Geometry as Quantum ESPRESSO input:
```
&SYSTEM
  ibrav = 0, nat = 6, ntyp = 2
/
ATOMIC_SPECIES
Ac 227.00 Ac.upf
H 1.01 H.upf
ATOMIC_POSITIONS crystal
Ac 0.125 0.125 0.125
Ac 0.875 0.875 0.875
H 0.000 0.500 0.500
H 0.500 0.000 0.500
H 0.500 0.500 0.000
H 0.500 0.500 0.500
CELL_PARAMETERS angstrom
0.000 3.639 3.639
3.639 0.000 3.639
3.639 3.639 0.000
```

***

Most stable: entry 1. Least stable: entry 2.

***

Entry 1
Compound: Ac2HgH
Source: Alexandria
Functional: PBE
Structure: optimized geometry Values from VASP.

Geometry as Quantum ESPRESSO input:
```
&SYSTEM
  ibrav = 0, nat = 16, ntyp = 3
/
ATOMIC_SPECIES
Ac 227.00 Ac.upf
Hg 200.59 Hg.upf
H 1.01 H.upf
ATOMIC_POSITIONS crystal
Ac 0.085 0.111 0.242
Ac 0.085 0.389 0.742
Ac 0.385 0.733 0.512
Ac 0.385 0.767 0.012
Ac 0.615 0.233 0.988
Ac 0.615 0.267 0.488
Ac 0.915 0.611 0.258
Ac 0.915 0.889 0.758
Hg 0.317 0.060 0.724
Hg 0.317 0.440 0.224
Hg 0.683 0.560 0.776
Hg 0.683 0.940 0.276
H 0.063 0.655 0.567
H 0.063 0.845 0.067
H 0.937 0.155 0.933
H 0.937 0.345 0.433
CELL_PARAMETERS angstrom
7.427 0.000 0.000
0.000 8.449 0.000
-0.288 0.000 7.619
```

***

Entry 2
Compound: Ac2HgH
Source: Alexandria
Functional: PBE
Structure: optimized geometry Values from VASP.

Geometry as Quantum ESPRESSO input:
```
&SYSTEM
  ibrav = 0, nat = 4, ntyp = 3
/
ATOMIC_SPECIES
Ac 227.00 Ac.upf
Hg 200.59 Hg.upf
H 1.01 H.upf
ATOMIC_POSITIONS crystal
Ac 0.000 0.000 0.232
Ac 0.000 0.000 0.768
Hg 0.500 0.500 0.500
H 0.500 0.500 0.000
CELL_PARAMETERS angstrom
3.772 0.000 0.000
0.000 3.772 0.000
0.000 0.000 7.848
```

***

Entry 3
Compound: Ac2HgH
Source: Alexandria
Functional: PBE
Structure: optimized geometry Values from VASP.

Geometry as Quantum ESPRESSO input:
```
&SYSTEM
  ibrav = 0, nat = 4, ntyp = 3
/
ATOMIC_SPECIES
Ac 227.00 Ac.upf
Hg 200.59 Hg.upf
H 1.01 H.upf
ATOMIC_POSITIONS crystal
Ac 0.000 0.000 0.000
Ac 0.204 0.204 0.204
Hg 0.769 0.769 0.769
H 0.602 0.602 0.602
CELL_PARAMETERS angstrom
2.029 1.172 8.042
-2.029 1.172 8.042
0.000 -2.343 8.042
```

***

Most stable: entry 1. Least stable: entry 2.

***

Entry 1
Compound: AcInH
Source: Alexandria
Functional: PBE
Structure: optimized geometry Values from VASP.

Geometry as Quantum ESPRESSO input:
```
&SYSTEM
  ibrav = 0, nat = 6, ntyp = 3
/
ATOMIC_SPECIES
Ac 227.00 Ac.upf
In 114.82 In.upf
H 1.01 H.upf
ATOMIC_POSITIONS crystal
Ac 0.250 0.250 0.170
Ac 0.750 0.750 0.830
In 0.250 0.250 0.574
In 0.750 0.750 0.426
H 0.250 0.750 0.000
H 0.750 0.250 0.000
CELL_PARAMETERS angstrom
4.077 0.000 0.000
0.000 4.077 0.000
0.000 0.000 8.828
```

***

Entry 2
Compound: AcInH
Source: Alexandria
Functional: PBE
Structure: optimized geometry Values from VASP.

Geometry as Quantum ESPRESSO input:
```
&SYSTEM
  ibrav = 0, nat = 3, ntyp = 3
/
ATOMIC_SPECIES
Ac 227.00 Ac.upf
In 114.82 In.upf
H 1.01 H.upf
ATOMIC_POSITIONS crystal
Ac 0.000 0.000 0.000
In 0.333 0.667 0.500
H 0.667 0.333 0.000
CELL_PARAMETERS angstrom
4.084 0.000 0.000
-2.042 3.537 0.000
0.000 0.000 5.520
```

***

Entry 3
Compound: AcInH
Source: Alexandria
Functional: PBE
Structure: optimized geometry Values from VASP.

Geometry as Quantum ESPRESSO input:
```
&SYSTEM
  ibrav = 0, nat = 3, ntyp = 3
/
ATOMIC_SPECIES
Ac 227.00 Ac.upf
In 114.82 In.upf
H 1.01 H.upf
ATOMIC_POSITIONS crystal
Ac 0.000 0.000 0.000
In 0.439 0.439 0.000
H 0.685 0.685 0.000
CELL_PARAMETERS angstrom
-2.412 2.412 3.758
2.412 -2.412 3.758
2.412 2.412 -3.758
```

***

Entry 4
Compound: AcInH
Source: Alexandria
Functional: PBE
Structure: optimized geometry Values from VASP.

Geometry as Quantum ESPRESSO input:
```
&SYSTEM
  ibrav = 0, nat = 24, ntyp = 3
/
ATOMIC_SPECIES
Ac 227.00 Ac.upf
In 114.82 In.upf
H 1.01 H.upf
ATOMIC_POSITIONS crystal
Ac 0.229 0.250 0.250
Ac 0.250 0.000 0.602
Ac 0.250 0.500 0.898
Ac 0.271 0.750 0.250
Ac 0.729 0.250 0.750
Ac 0.750 0.000 0.398
Ac 0.750 0.500 0.102
Ac 0.771 0.750 0.750
In 0.104 0.124 0.931
In 0.104 0.376 0.569
In 0.396 0.624 0.569
In 0.396 0.876 0.931
In 0.604 0.124 0.069
In 0.604 0.376 0.431
In 0.896 0.624 0.431
In 0.896 0.876 0.069
H 0.096 0.000 0.368
H 0.096 0.500 0.132
H 0.404 0.000 0.368
H 0.404 0.500 0.132
H 0.596 0.000 0.632
H 0.596 0.500 0.868
H 0.904 0.000 0.632
H 0.904 0.500 0.868
CELL_PARAMETERS angstrom
7.153 0.000 0.000
0.000 8.401 0.000
0.000 0.000 9.979
```

***

Most stable: entry 1. Least stable: entry 3.

***

Entry 1
Compound: Ac3InH
Source: Alexandria
Functional: PBE
Structure: optimized geometry Values from VASP.

Geometry as Quantum ESPRESSO input:
```
&SYSTEM
  ibrav = 0, nat = 10, ntyp = 3
/
ATOMIC_SPECIES
Ac 227.00 Ac.upf
In 114.82 In.upf
H 1.01 H.upf
ATOMIC_POSITIONS crystal
Ac 0.125 0.644 0.685
Ac 0.356 0.875 0.315
Ac 0.358 0.358 0.160
Ac 0.642 0.642 0.840
Ac 0.644 0.125 0.685
Ac 0.875 0.356 0.315
In 0.130 0.130 0.810
In 0.870 0.870 0.190
H 0.269 0.269 0.455
H 0.731 0.731 0.545
CELL_PARAMETERS angstrom
6.525 -3.709 0.000
6.525 3.709 0.000
-1.304 0.000 6.569
```

***

Entry 2
Compound: Ac3InH
Source: Alexandria
Functional: PBE
Structure: optimized geometry Values from VASP.

Geometry as Quantum ESPRESSO input:
```
&SYSTEM
  ibrav = 0, nat = 5, ntyp = 3
/
ATOMIC_SPECIES
Ac 227.00 Ac.upf
In 114.82 In.upf
H 1.01 H.upf
ATOMIC_POSITIONS crystal
Ac 0.000 0.000 0.500
Ac 0.000 0.500 0.000
Ac 0.500 0.000 0.000
In 0.500 0.500 0.500
H 0.000 0.000 0.000
CELL_PARAMETERS angstrom
5.363 0.000 0.000
0.000 5.363 0.000
0.000 0.000 5.363
```

***

Most stable: entry 2. Least stable: entry 1.

***

Entry 1
Compound: AcH3Ir
Source: Alexandria
Functional: PBE
Structure: optimized geometry Values from VASP.

Geometry as Quantum ESPRESSO input:
```
&SYSTEM
  ibrav = 0, nat = 5, ntyp = 3
/
ATOMIC_SPECIES
Ac 227.00 Ac.upf
H 1.01 H.upf
Ir 192.22 Ir.upf
ATOMIC_POSITIONS crystal
Ac 0.000 0.000 0.000
H 0.000 0.500 0.500
H 0.500 0.000 0.500
H 0.500 0.500 0.000
Ir 0.500 0.500 0.500
CELL_PARAMETERS angstrom
3.895 0.000 0.000
0.000 3.895 0.000
0.000 0.000 3.895
```

***

Entry 2
Compound: AcH3Ir
Source: Alexandria
Functional: PBE
Structure: optimized geometry Values from VASP.

Geometry as Quantum ESPRESSO input:
```
&SYSTEM
  ibrav = 0, nat = 10, ntyp = 3
/
ATOMIC_SPECIES
Ac 227.00 Ac.upf
H 1.01 H.upf
Ir 192.22 Ir.upf
ATOMIC_POSITIONS crystal
Ac 0.000 0.000 0.000
Ac 0.259 0.495 0.483
H 0.095 0.505 0.914
H 0.267 0.991 0.577
H 0.447 0.268 0.109
H 0.448 0.733 0.111
H 0.680 0.657 0.646
H 0.813 0.222 0.382
Ir 0.539 0.508 0.915
Ir 0.704 0.994 0.587
CELL_PARAMETERS angstrom
4.151 0.000 0.000
0.008 5.090 0.000
2.066 0.315 6.179
```

***

Most stable: entry 2. Least stable: entry 1.

***

Entry 1
Compound: AcH8Ir2
Source: Alexandria
Functional: PBE
Structure: optimized geometry Values from VASP.

Geometry as Quantum ESPRESSO input:
```
&SYSTEM
  ibrav = 0, nat = 11, ntyp = 3
/
ATOMIC_SPECIES
Ac 227.00 Ac.upf
H 1.01 H.upf
Ir 192.22 Ir.upf
ATOMIC_POSITIONS crystal
Ac 0.000 0.000 0.000
H 0.237 0.728 0.279
H 0.272 0.763 0.721
H 0.336 0.336 0.430
H 0.340 0.340 0.913
H 0.660 0.660 0.087
H 0.664 0.664 0.570
H 0.728 0.237 0.279
H 0.763 0.272 0.721
Ir 0.481 0.481 0.244
Ir 0.519 0.519 0.756
CELL_PARAMETERS angstrom
3.570 -3.356 0.000
3.570 3.356 0.000
-2.183 0.000 5.218
```

***

Entry 2
Compound: AcH8Ir2
Source: Alexandria
Functional: PBE
Structure: optimized geometry Values from VASP.

Geometry as Quantum ESPRESSO input:
```
&SYSTEM
  ibrav = 0, nat = 11, ntyp = 3
/
ATOMIC_SPECIES
Ac 227.00 Ac.upf
H 1.01 H.upf
Ir 192.22 Ir.upf
ATOMIC_POSITIONS crystal
Ac 0.000 0.000 0.000
H 0.024 0.320 0.501
H 0.311 0.689 0.000
H 0.320 0.024 0.501
H 0.499 0.499 0.256
H 0.501 0.501 0.744
H 0.680 0.976 0.499
H 0.689 0.311 0.000
H 0.976 0.680 0.499
Ir 0.330 0.670 0.500
Ir 0.670 0.330 0.500
CELL_PARAMETERS angstrom
2.640 -4.416 0.000
2.640 4.416 0.000
-0.005 0.000 4.022
```

***

Most stable: entry 1. Least stable: entry 2.

***

Entry 1
Compound: Ac3HIr2
Source: Alexandria
Functional: PBE
Structure: optimized geometry Values from VASP.

Geometry as Quantum ESPRESSO input:
```
&SYSTEM
  ibrav = 0, nat = 24, ntyp = 3
/
ATOMIC_SPECIES
Ac 227.00 Ac.upf
H 1.01 H.upf
Ir 192.22 Ir.upf
ATOMIC_POSITIONS crystal
Ac 0.026 0.250 0.100
Ac 0.133 0.750 0.430
Ac 0.171 0.250 0.724
Ac 0.329 0.750 0.224
Ac 0.367 0.250 0.930
Ac 0.474 0.750 0.600
Ac 0.526 0.250 0.400
Ac 0.633 0.750 0.070
Ac 0.671 0.250 0.776
Ac 0.829 0.750 0.276
Ac 0.867 0.250 0.570
Ac 0.974 0.750 0.900
H 0.106 0.250 0.867
H 0.394 0.750 0.367
H 0.606 0.250 0.633
H 0.894 0.750 0.133
Ir 0.099 0.250 0.282
Ir 0.250 0.250 0.535
Ir 0.250 0.750 0.035
Ir 0.401 0.750 0.782
Ir 0.599 0.250 0.218
Ir 0.750 0.250 0.965
Ir 0.750 0.750 0.465
Ir 0.901 0.750 0.718
CELL_PARAMETERS angstrom
8.524 0.000 0.000
0.000 4.279 0.000
0.000 0.000 17.002
```

***

Entry 2
Compound: Ac3HIr2
Source: Alexandria
Functional: PBE
Structure: optimized geometry Values from VASP.

Geometry as Quantum ESPRESSO input:
```
&SYSTEM
  ibrav = 0, nat = 12, ntyp = 3
/
ATOMIC_SPECIES
Ac 227.00 Ac.upf
H 1.01 H.upf
Ir 192.22 Ir.upf
ATOMIC_POSITIONS crystal
Ac 0.002 0.998 0.750
Ac 0.327 0.327 0.414
Ac 0.327 0.327 0.914
Ac 0.673 0.673 0.086
Ac 0.673 0.673 0.586
Ac 0.998 0.002 0.250
H 0.495 0.505 0.750
H 0.505 0.495 0.250
Ir 0.160 0.160 0.080
Ir 0.160 0.160 0.580
Ir 0.840 0.840 0.420
Ir 0.840 0.840 0.920
CELL_PARAMETERS angstrom
6.745 -2.985 0.000
6.745 2.985 0.000
-2.783 0.000 8.187
```

***

Most stable: entry 2. Least stable: entry 1.

***

Entry 1
Compound: AcLa2H
Source: Alexandria
Functional: PBE
Structure: optimized geometry Values from VASP.

Geometry as Quantum ESPRESSO input:
```
&SYSTEM
  ibrav = 0, nat = 4, ntyp = 3
/
ATOMIC_SPECIES
Ac 227.00 Ac.upf
La 138.91 La.upf
H 1.01 H.upf
ATOMIC_POSITIONS crystal
Ac 0.000 0.000 0.000
La 0.220 0.220 0.220
La 0.780 0.780 0.780
H 0.500 0.500 0.500
CELL_PARAMETERS angstrom
1.942 1.121 9.140
-1.942 1.121 9.140
0.000 -2.242 9.140
```

***

Entry 2
Compound: AcLa2H
Source: Alexandria
Functional: PBE
Structure: optimized geometry Values from VASP.

Geometry as Quantum ESPRESSO input:
```
&SYSTEM
  ibrav = 0, nat = 4, ntyp = 3
/
ATOMIC_SPECIES
Ac 227.00 Ac.upf
La 138.91 La.upf
H 1.01 H.upf
ATOMIC_POSITIONS crystal
Ac 0.000 0.000 0.000
La 0.333 0.667 0.500
La 0.667 0.333 0.500
H 0.000 0.000 0.500
CELL_PARAMETERS angstrom
5.782 0.000 0.000
-2.891 5.008 0.000
0.000 0.000 4.468
```

***

Entry 3
Compound: AcLa2H
Source: Alexandria
Functional: PBE
Structure: optimized geometry Values from VASP.

Geometry as Quantum ESPRESSO input:
```
&SYSTEM
  ibrav = 0, nat = 4, ntyp = 3
/
ATOMIC_SPECIES
Ac 227.00 Ac.upf
La 138.91 La.upf
H 1.01 H.upf
ATOMIC_POSITIONS crystal
Ac 0.000 0.000 0.000
La 0.551 0.551 0.551
La 0.779 0.779 0.779
H 0.165 0.165 0.165
CELL_PARAMETERS angstrom
1.930 1.114 9.228
-1.930 1.114 9.228
0.000 -2.228 9.228
```

***

Most stable: entry 1. Least stable: entry 2.